A) # Pr3NdRu | Alexandria | PBE | optimized geometry
# V	33.1	Å³ per atom
# spin magnetization	0.0	μB per formula unit
# D(E_F)	10.043	states/eV per cell
data_Pr3NdRu
_chemical_formula_sum 'Pr6 Nd2 Ru2'
_cell_length_a 7.548
_cell_length_b 7.548
_cell_length_c 8.541
_cell_angle_alpha 124.38
_cell_angle_beta 124.38
_cell_angle_gamma 71.66
_symmetry_space_group_name_H-M 'P 1'
_symmetry_Int_Tables_number 1
_symmetry_space_group_name_Hall 'P 1'
loop_
_atom_site_label
_atom_site_fract_x
_atom_site_fract_y
_atom_site_fract_z
Pr1 0.049 0.049 0.342
Pr2 0.051 0.451 0.208
Pr3 0.451 0.051 0.208
Pr4 0.549 0.949 0.792
Pr5 0.949 0.549 0.792
Pr6 0.951 0.951 0.658
Nd1 0.451 0.451 0.747
Nd2 0.549 0.549 0.253
Ru1 0.251 0.251 0.872
Ru2 0.749 0.749 0.128

***

B) # Pr3NdRu | Alexandria | PBE | optimized geometry
# V	34.9	Å³ per atom
# spin magnetization	1.0	μB per formula unit
# D(E_F)	8.804	states/eV per cell
data_Pr3NdRu
_chemical_formula_sum 'Pr3 Nd1 Ru1'
_cell_length_a 5.591
_cell_length_b 5.591
_cell_length_c 5.591
_cell_angle_alpha 90.00
_cell_angle_beta 90.00
_cell_angle_gamma 90.00
_symmetry_space_group_name_H-M 'P 1'
_symmetry_Int_Tables_number 1
_symmetry_space_group_name_Hall 'P 1'
loop_
_atom_site_label
_atom_site_fract_x
_atom_site_fract_y
_atom_site_fract_z
Pr1 0.000 0.000 0.500
Pr2 0.000 0.500 0.000
Pr3 0.500 0.000 0.000
Nd1 0.500 0.500 0.500
Ru1 0.000 0.000 0.000

***

In terms of stability, A) leads; the second structure lies 182 meV per atom higher.

***

A) # PrNd3S4 | Alexandria | PBE | optimized geometry
# V	24.0	Å³ per atom
# spin magnetization	0.0	μB per formula unit
# D(E_F)	4.284	states/eV per cell
data_PrNd3S4
_chemical_formula_sum 'Pr1 Nd3 S4'
_cell_length_a 5.769
_cell_length_b 5.769
_cell_length_c 5.769
_cell_angle_alpha 90.00
_cell_angle_beta 90.00
_cell_angle_gamma 90.00
_symmetry_space_group_name_H-M 'P 1'
_symmetry_Int_Tables_number 1
_symmetry_space_group_name_Hall 'P 1'
loop_
_atom_site_label
_atom_site_fract_x
_atom_site_fract_y
_atom_site_fract_z
Pr1 0.000 0.000 0.000
Nd1 0.000 0.500 0.500
Nd2 0.500 0.000 0.500
Nd3 0.500 0.500 0.000
S1 0.000 0.000 0.500
S2 0.000 0.500 0.000
S3 0.500 0.000 0.000
S4 0.500 0.500 0.500

***

B) # PrNd3S4 | Alexandria | PBE | optimized geometry
# V	24.0	Å³ per atom
# spin magnetization	0.0	μB per formula unit
# D(E_F)	7.421	states/eV per cell
data_PrNd3S4
_chemical_formula_sum 'Pr2 Nd6 S8'
_cell_length_a 7.091
_cell_length_b 8.092
_cell_length_c 7.089
_cell_angle_alpha 90.00
_cell_angle_beta 109.39
_cell_angle_gamma 90.00
_symmetry_space_group_name_H-M 'P 1'
_symmetry_Int_Tables_number 1
_symmetry_space_group_name_Hall 'P 1'
loop_
_atom_site_label
_atom_site_fract_x
_atom_site_fract_y
_atom_site_fract_z
Pr1 0.000 0.125 0.250
Pr2 0.000 0.875 0.750
Nd1 0.000 0.375 0.750
Nd2 0.000 0.625 0.250
Nd3 0.500 0.125 0.750
Nd4 0.500 0.375 0.250
Nd5 0.500 0.625 0.750
Nd6 0.500 0.875 0.250
S1 0.251 0.376 0.501
S2 0.251 0.624 0.001
S3 0.252 0.126 0.000
S4 0.252 0.874 0.500
S5 0.748 0.126 0.500
S6 0.748 0.874 0.000
S7 0.749 0.376 0.999
S8 0.749 0.624 0.499

***

In terms of stability, B) leads; the second structure lies 12 meV per atom higher.

***

A) # Pr3NdS6 | Alexandria | PBE | optimized geometry
# V	29.4	Å³ per atom
# spin magnetization	0.0	μB per formula unit
# D(E_F)	0.000	states/eV per cell
data_Pr3NdS6
_chemical_formula_sum 'Pr6 Nd2 S12'
_cell_length_a 8.378
_cell_length_b 8.378
_cell_length_c 8.378
_cell_angle_alpha 91.28
_cell_angle_beta 91.28
_cell_angle_gamma 91.28
_symmetry_space_group_name_H-M 'P 1'
_symmetry_Int_Tables_number 1
_symmetry_space_group_name_Hall 'P 1'
loop_
_atom_site_label
_atom_site_fract_x
_atom_site_fract_y
_atom_site_fract_z
Pr1 0.065 0.748 0.574
Pr2 0.252 0.426 0.935
Pr3 0.426 0.935 0.252
Pr4 0.574 0.065 0.748
Pr5 0.748 0.574 0.065
Pr6 0.935 0.252 0.426
Nd1 0.000 0.000 0.000
Nd2 0.500 0.500 0.500
S1 0.034 0.681 0.904
S2 0.096 0.966 0.319
S3 0.185 0.423 0.594
S4 0.319 0.096 0.966
S5 0.406 0.815 0.577
S6 0.423 0.594 0.185
S7 0.577 0.406 0.815
S8 0.594 0.185 0.423
S9 0.681 0.904 0.034
S10 0.815 0.577 0.406
S11 0.904 0.034 0.681
S12 0.966 0.319 0.096

***

B) # Pr3NdS6 | Alexandria | PBE | optimized geometry
# V	28.9	Å³ per atom
# spin magnetization	0.0	μB per formula unit
# D(E_F)	0.000	states/eV per cell
data_Pr3NdS6
_chemical_formula_sum 'Pr3 Nd1 S6'
_cell_length_a 7.600
_cell_length_b 7.600
_cell_length_c 7.600
_cell_angle_alpha 56.95
_cell_angle_beta 56.95
_cell_angle_gamma 56.95
_symmetry_space_group_name_H-M 'P 1'
_symmetry_Int_Tables_number 1
_symmetry_space_group_name_Hall 'P 1'
loop_
_atom_site_label
_atom_site_fract_x
_atom_site_fract_y
_atom_site_fract_z
Pr1 0.000 0.000 0.000
Pr2 0.208 0.208 0.208
Pr3 0.499 0.499 0.499
Nd1 0.707 0.707 0.707
S1 0.100 0.402 0.810
S2 0.310 0.898 0.604
S3 0.402 0.810 0.100
S4 0.604 0.310 0.898
S5 0.810 0.100 0.402
S6 0.898 0.604 0.310

***

In terms of stability, A) leads; the second structure lies 22 meV per atom higher.

***

A) # Pr2NdS | Alexandria | PBE | optimized geometry
# V	31.8	Å³ per atom
# spin magnetization	0.0	μB per formula unit
# D(E_F)	4.692	states/eV per cell
data_Pr2NdS
_chemical_formula_sum 'Pr2 Nd1 S1'
_cell_length_a 9.974
_cell_length_b 9.974
_cell_length_c 9.974
_cell_angle_alpha 22.47
_cell_angle_beta 22.47
_cell_angle_gamma 22.47
_symmetry_space_group_name_H-M 'P 1'
_symmetry_Int_Tables_number 1
_symmetry_space_group_name_Hall 'P 1'
loop_
_atom_site_label
_atom_site_fract_x
_atom_site_fract_y
_atom_site_fract_z
Pr1 0.228 0.228 0.228
Pr2 0.772 0.772 0.772
Nd1 0.000 0.000 0.000
S1 0.500 0.500 0.500

***

B) # Pr2NdS | Alexandria | PBE | optimized geometry
# V	32.0	Å³ per atom
# spin magnetization	0.6	μB per formula unit
# D(E_F)	4.132	states/eV per cell
data_Pr2NdS
_chemical_formula_sum 'Pr2 Nd1 S1'
_cell_length_a 9.872
_cell_length_b 9.872
_cell_length_c 9.872
_cell_angle_alpha 22.92
_cell_angle_beta 22.92
_cell_angle_gamma 22.92
_symmetry_space_group_name_H-M 'P 1'
_symmetry_Int_Tables_number 1
_symmetry_space_group_name_Hall 'P 1'
loop_
_atom_site_label
_atom_site_fract_x
_atom_site_fract_y
_atom_site_fract_z
Pr1 0.000 0.000 0.000
Pr2 0.212 0.212 0.212
Nd1 0.772 0.772 0.772
S1 0.606 0.606 0.606

***

In terms of stability, B) leads; the second structure lies 10 meV per atom higher.

***

A) # PrNd3Sb4 | Alexandria | PBE | optimized geometry
# V	32.9	Å³ per atom
# spin magnetization	0.0	μB per formula unit
# D(E_F)	0.968	states/eV per cell
data_PrNd3Sb4
_chemical_formula_sum 'Pr1 Nd3 Sb4'
_cell_length_a 7.850
_cell_length_b 7.850
_cell_length_c 4.536
_cell_angle_alpha 90.00
_cell_angle_beta 90.00
_cell_angle_gamma 109.47
_symmetry_space_group_name_H-M 'P 1'
_symmetry_Int_Tables_number 1
_symmetry_space_group_name_Hall 'P 1'
loop_
_atom_site_label
_atom_site_fract_x
_atom_site_fract_y
_atom_site_fract_z
Pr1 0.000 0.000 0.000
Nd1 0.000 0.500 0.500
Nd2 0.500 0.000 0.500
Nd3 0.500 0.500 0.000
Sb1 0.251 0.251 0.500
Sb2 0.251 0.749 0.000
Sb3 0.749 0.251 0.000
Sb4 0.749 0.749 0.500

***

B) # PrNd3Sb4 | Alexandria | PBE | optimized geometry
# V	32.9	Å³ per atom
# spin magnetization	0.0	μB per formula unit
# D(E_F)	0.607	states/eV per cell
data_PrNd3Sb4
_chemical_formula_sum 'Pr1 Nd3 Sb4'
_cell_length_a 6.407
_cell_length_b 6.407
_cell_length_c 6.407
_cell_angle_alpha 90.00
_cell_angle_beta 90.00
_cell_angle_gamma 90.00
_symmetry_space_group_name_H-M 'P 1'
_symmetry_Int_Tables_number 1
_symmetry_space_group_name_Hall 'P 1'
loop_
_atom_site_label
_atom_site_fract_x
_atom_site_fract_y
_atom_site_fract_z
Pr1 0.000 0.000 0.000
Nd1 0.000 0.500 0.500
Nd2 0.500 0.000 0.500
Nd3 0.500 0.500 0.000
Sb1 0.000 0.000 0.500
Sb2 0.000 0.500 0.000
Sb3 0.500 0.000 0.000
Sb4 0.500 0.500 0.500

***

In terms of stability, B) leads; the second structure lies 5 meV per atom higher.

***

A) # Pr2NdSb | Alexandria | PBE | optimized geometry
# V	32.7	Å³ per atom
# spin magnetization	0.0	μB per formula unit
# D(E_F)	8.336	states/eV per cell
data_Pr2NdSb
_chemical_formula_sum 'Pr4 Nd2 Sb2'
_cell_length_a 12.174
_cell_length_b 12.174
_cell_length_c 4.677
_cell_angle_alpha 90.00
_cell_angle_beta 90.00
_cell_angle_gamma 157.81
_symmetry_space_group_name_H-M 'P 1'
_symmetry_Int_Tables_number 1
_symmetry_space_group_name_Hall 'P 1'
loop_
_atom_site_label
_atom_site_fract_x
_atom_site_fract_y
_atom_site_fract_z
Pr1 0.061 0.939 0.750
Pr2 0.431 0.569 0.750
Pr3 0.569 0.431 0.250
Pr4 0.939 0.061 0.250
Nd1 0.304 0.696 0.250
Nd2 0.696 0.304 0.750
Sb1 0.170 0.830 0.250
Sb2 0.830 0.170 0.750

***

B) # Pr2NdSb | Alexandria | PBE | optimized geometry
# V	30.5	Å³ per atom
# spin magnetization	0.0	μB per formula unit
# D(E_F)	4.090	states/eV per cell
data_Pr2NdSb
_chemical_formula_sum 'Pr2 Nd1 Sb1'
_cell_length_a 4.953
_cell_length_b 4.953
_cell_length_c 4.968
_cell_angle_alpha 90.00
_cell_angle_beta 90.00
_cell_angle_gamma 90.00
_symmetry_space_group_name_H-M 'P 1'
_symmetry_Int_Tables_number 1
_symmetry_space_group_name_Hall 'P 1'
loop_
_atom_site_label
_atom_site_fract_x
_atom_site_fract_y
_atom_site_fract_z
Pr1 0.000 0.500 0.000
Pr2 0.500 0.000 0.000
Nd1 0.000 0.000 0.500
Sb1 0.500 0.500 0.500

***

In terms of stability, A) leads; the second structure lies 11 meV per atom higher.